[1]
# LiTlTe2I meta-GGA SCAN single point on PBEsol structure
# Total energy: -37.1423 eV/atom
# ΔE_f (raw): 0.0561 eV/atom
data_LiTlTe2I
_chemical_formula_sum 'Li1 Tl1 Te2 I1'
_space_group_name_H-M_alt 'P 4/m m m'
_space_group_IT_number 123
_space_group_name_Hall '-P 4 2'
_cell_length_a 5.669
_cell_length_b 5.669
_cell_length_c 6.279
_cell_angle_alpha 90.00
_cell_angle_beta 90.00
_cell_angle_gamma 90.00
loop_
_atom_site_label
_atom_site_fract_x
_atom_site_fract_y
_atom_site_fract_z
Li1 0.000 0.000 0.000
Tl1 0.500 0.500 0.500
Te1 0.000 0.500 0.500
I1 0.500 0.500 0.000

---

[2]
# BaLi2ZrTc meta-GGA SCAN single point on PBEsol structure
# Total energy: -20.6842 eV/atom
# ΔH_f (0 K): 1.33 eV/atom
data_BaLi2ZrTc
_chemical_formula_sum 'Ba1 Li2 Zr1 Tc1'
_space_group_name_H-M_alt 'P 4/m m m'
_space_group_IT_number 123
_space_group_name_Hall '-P 4 2'
_cell_length_a 4.837
_cell_length_b 4.837
_cell_length_c 5.147
_cell_angle_alpha 90.00
_cell_angle_beta 90.00
_cell_angle_gamma 90.00
loop_
_atom_site_label
_atom_site_fract_x
_atom_site_fract_y
_atom_site_fract_z
Ba1 0.000 0.000 0.000
Li1 0.000 0.500 0.500
Zr1 0.500 0.500 0.000
Tc1 0.000 0.000 0.500

---

[3]
# Ba4Nb2WO12 meta-GGA SCAN single point on PBEsol structure
# Total energy: -22.4346 eV/atom
# ΔE_f (raw): -3.0176 eV/atom
data_Ba4Nb2WO12
_chemical_formula_sum 'Ba12 Nb6 W3 O36'
_space_group_name_H-M_alt 'R 3 m'
_space_group_IT_number 160
_space_group_name_Hall 'R 3 -2"'
_cell_length_a 5.7800
_cell_length_b 5.7800
_cell_length_c 28.0981
_cell_angle_alpha 90.00
_cell_angle_beta 90.00
_cell_angle_gamma 120.00
loop_
_atom_site_label
_atom_site_fract_x
_atom_site_fract_y
_atom_site_fract_z
Ba1 0.0000 0.0000 0.0000
Ba2 0.0000 0.0000 0.1530
Ba3 0.0000 0.0000 0.5746
Ba4 0.0000 0.0000 0.7298
Nb1 0.0000 0.0000 0.4404
Nb2 0.0000 0.0000 0.8638
W1 0.0000 0.0000 0.2858
O1 0.0148 0.5074 0.9843
O2 0.1675 0.3350 0.0766
O3 0.1688 0.3376 0.4922
O4 0.1697 0.3393 0.9064

---

[4]
# RbInF3 meta-GGA SCAN single point on PBEsol structure
# Total energy: -15.5662 eV/atom
# ΔE_f (raw): -2.6171 eV/atom
data_RbInF3
_chemical_formula_sum 'Rb8 In8 F24'
_space_group_name_H-M_alt 'F m -3 m'
_space_group_IT_number 225
_space_group_name_Hall '-F 4 2 3'
_cell_length_a 9.210
_cell_length_b 9.210
_cell_length_c 9.210
_cell_angle_alpha 90.00
_cell_angle_beta 90.00
_cell_angle_gamma 90.00
loop_
_atom_site_label
_atom_site_fract_x
_atom_site_fract_y
_atom_site_fract_z
Rb1 0.250 0.250 0.250
In1 0.000 0.000 0.000
In2 0.000 0.000 0.500
F1 0.000 0.000 0.227

---

[5]
# BeNiCl2 meta-GGA SCAN single point on PBEsol structure
# Total energy: -9.4260 eV/atom
# ΔE_f (raw): -0.3054 eV/atom
# Relative energy among the computed polymorphs: 0.000 eV per atom
data_BeNiCl2
_chemical_formula_sum 'Be1 Ni1 Cl2'
_space_group_name_H-M_alt 'P 4 m m'
_space_group_IT_number 99
_cell_length_a 3.108
_cell_length_b 3.108
_cell_length_c 6.436
_cell_angle_alpha 90.00
_cell_angle_beta 90.00
_cell_angle_gamma 90.00
loop_
_space_group_symop_operation_xyz
'x,y,z'
'-y,x,z'
'-x,-y,z'
'y,-x,z'
'-x,y,z'
'y,x,z'
'x,-y,z'
'-y,-x,z'
loop_
_atom_site_label
_atom_site_fract_x
_atom_site_fract_y
_atom_site_fract_z
Be1 0.000 0.000 0.000
Ni1 0.500 0.500 0.886
Cl1 0.000 0.000 0.679
Cl2 0.500 0.500 0.213

---

[6]
# Y3GaSi meta-GGA SCAN single point on PBEsol structure
# Total energy: -22.0125 eV/atom
# ΔE_f (raw): -0.0344 eV/atom
data_Y3GaSi
_chemical_formula_sum 'Y3 Ga1 Si1'
_space_group_name_H-M_alt 'P m -3 m'
_space_group_IT_number 221
_space_group_name_Hall '-P 4 2 3'
_cell_length_a 5.251
_cell_length_b 5.251
_cell_length_c 5.251
_cell_angle_alpha 90.00
_cell_angle_beta 90.00
_cell_angle_gamma 90.00
loop_
_atom_site_label
_atom_site_fract_x
_atom_site_fract_y
_atom_site_fract_z
Y1 0.000 0.000 0.500
Ga1 0.000 0.000 0.000
Si1 0.500 0.500 0.500

---

[7]
# ZnSbTe2 meta-GGA SCAN single point on PBEsol structure
# Total energy: -31.0088 eV/atom
# ΔE_f (raw): 0.3107 eV/atom
data_ZnSbTe2
_chemical_formula_sum 'Zn2 Sb2 Te4'
_space_group_name_H-M_alt 'I -4 m 2'
_space_group_IT_number 119
_space_group_name_Hall 'I -4 -2'
_cell_length_a 4.238
_cell_length_b 4.238
_cell_length_c 11.479
_cell_angle_alpha 90.00
_cell_angle_beta 90.00
_cell_angle_gamma 90.00
loop_
_atom_site_label
_atom_site_fract_x
_atom_site_fract_y
_atom_site_fract_z
Zn1 0.000 0.000 0.000
Sb1 0.000 0.500 0.250
Te1 0.000 0.000 0.500
Te2 0.000 0.500 0.750

---

[8]
# LaSnIrAu2 meta-GGA SCAN single point on PBEsol structure
# Total energy: -56.8388 eV/atom
# ΔH_f (0 K): 0.85 eV/atom
data_LaSnIrAu2
_chemical_formula_sum 'La1 Sn1 Ir1 Au2'
_space_group_name_H-M_alt 'P 4/m m m'
_space_group_IT_number 123
_space_group_name_Hall '-P 4 2'
_cell_length_a 5.439
_cell_length_b 5.439
_cell_length_c 4.944
_cell_angle_alpha 90.00
_cell_angle_beta 90.00
_cell_angle_gamma 90.00
loop_
_atom_site_label
_atom_site_fract_x
_atom_site_fract_y
_atom_site_fract_z
La1 0.000 0.000 0.000
Sn1 0.500 0.500 0.500
Ir1 0.000 0.000 0.500
Au1 0.000 0.500 0.000

---

[9]
# TaMn2Tc meta-GGA SCAN single point on PBEsol structure
# Total energy: -34.3755 eV/atom
# ΔH_f (0 K): 0.16 eV/atom
# Relative energy among the computed polymorphs: 0.192 eV per atom
data_TaMn2Tc
_chemical_formula_sum 'Ta3 Mn6 Tc3'
_space_group_name_H-M_alt 'R -3 m'
_space_group_IT_number 166
_space_group_name_Hall '-R 3 2"'
_cell_length_a 2.7417
_cell_length_b 2.7417
_cell_length_c 25.2883
_cell_angle_alpha 90.00
_cell_angle_beta 90.00
_cell_angle_gamma 120.00
loop_
_atom_site_label
_atom_site_fract_x
_atom_site_fract_y
_atom_site_fract_z
Ta1 0.0000 0.0000 0.0000
Mn1 0.0000 0.0000 0.2454
Tc1 0.0000 0.0000 0.5000

---

[10]
# TiReOs3 meta-GGA SCAN single point on PBEsol structure
# Total energy: -58.6398 eV/atom
# ΔH_f (0 K): 1.91 eV/atom
data_TiReOs3
_chemical_formula_sum 'Ti1 Re1 Os3'
_space_group_name_H-M_alt 'P m -3 m'
_space_group_IT_number 221
_space_group_name_Hall '-P 4 2 3'
_cell_length_a 4.629
_cell_length_b 4.629
_cell_length_c 4.629
_cell_angle_alpha 90.00
_cell_angle_beta 90.00
_cell_angle_gamma 90.00
loop_
_atom_site_label
_atom_site_fract_x
_atom_site_fract_y
_atom_site_fract_z
Ti1 0.000 0.000 0.000
Re1 0.500 0.500 0.500
Os1 0.000 0.500 0.500

---

[11]
# TcP2Se meta-GGA SCAN single point on PBEsol structure
# Total energy: -18.2678 eV/atom
# ΔE_f (raw): 0.7161 eV/atom
data_TcP2Se
_chemical_formula_sum 'Tc1 P2 Se1'
_space_group_name_H-M_alt 'P m m m'
_space_group_IT_number 47
_cell_length_a 2.975
_cell_length_b 4.364
_cell_length_c 4.449
_cell_angle_alpha 90.00
_cell_angle_beta 90.00
_cell_angle_gamma 90.00
loop_
_space_group_symop_operation_xyz
'x,y,z'
'-x,-y,-z'
'-x,-y,z'
'x,y,-z'
'x,-y,-z'
'-x,y,z'
'-x,y,-z'
'x,-y,z'
loop_
_atom_site_label
_atom_site_fract_x
_atom_site_fract_y
_atom_site_fract_z
Tc1 0.000 0.000 0.000
P1 0.000 0.500 0.500
P2 0.500 0.500 0.000
Se1 0.500 0.000 0.500

---

[12]
# SnRuI2N meta-GGA SCAN single point on PBEsol structure
# Total energy: -29.4877 eV/atom
# ΔE_f (raw): 1.2167 eV/atom
# Relative energy among the computed polymorphs: 0.872 eV per atom
data_SnRuI2N
_chemical_formula_sum 'Sn1 Ru1 I2 N1'
_space_group_name_H-M_alt 'P 4/m m m'
_space_group_IT_number 123
_space_group_name_Hall '-P 4 2'
_cell_length_a 5.901
_cell_length_b 5.901
_cell_length_c 3.779
_cell_angle_alpha 90.00
_cell_angle_beta 90.00
_cell_angle_gamma 90.00
loop_
_atom_site_label
_atom_site_fract_x
_atom_site_fract_y
_atom_site_fract_z
Sn1 0.000 0.000 0.000
Ru1 0.500 0.500 0.500
I1 0.000 0.500 0.000
N1 0.000 0.000 0.500

---

[13]
# Y20Si12C meta-GGA SCAN single point on PBEsol structure
# Total energy: -21.6142 eV/atom
# ΔE_f (raw): -0.7915 eV/atom
data_Y20Si12C
_chemical_formula_sum 'Y20 Si12 C1'
_space_group_name_H-M_alt 'P 1 2/m 1'
_space_group_IT_number 10
_cell_length_a 6.305
_cell_length_b 14.505
_cell_length_c 8.379
_cell_angle_alpha 90.00
_cell_angle_beta 90.00
_cell_angle_gamma 90.00
loop_
_space_group_symop_operation_xyz
'x,y,z'
'-x,-y,-z'
'-x,y,-z'
'x,-y,z'
loop_
_atom_site_label
_atom_site_fract_x
_atom_site_fract_y
_atom_site_fract_z
Y1 0.000 0.161 0.000
Y2 0.000 0.329 0.500
Y3 0.227 0.382 0.119
Y4 0.228 0.500 0.764
Y5 0.252 0.121 0.622
Y6 0.257 0.000 0.257
Y7 0.500 0.173 0.000
Y8 0.500 0.337 0.500
Si1 0.236 0.500 0.400
Si2 0.242 0.300 0.801
Si3 0.253 0.197 0.303
Si4 0.265 0.000 0.896
C1 0.000 0.500 0.000